1.
# PBE PuCdInGe, optimized geometry
# Energy in eV/atom: -5.8716
# Energy of formation in meV/atom: -221
# E above lowest polymorph in eV/atom: 0.000
data_PuCdInGe
_chemical_formula_sum 'Pu1 Cd1 In1 Ge1'
_space_group_name_H-M_alt 'P 1'
_space_group_IT_number 1
_cell_length_a 4.344
_cell_length_b 4.320
_cell_length_c 4.916
_cell_angle_alpha 90.00
_cell_angle_beta 90.00
_cell_angle_gamma 90.00
loop_
_space_group_symop_operation_xyz
'x,y,z'
loop_
_atom_site_label
_atom_site_type_symbol
_atom_site_fract_x
_atom_site_fract_y
_atom_site_fract_z
Cd1 Cd 0.500 0.500 0.000
Ge1 Ge 0.500 0.000 0.500
In1 In 0.000 0.000 0.000
Pu1 Pu 0.000 0.500 0.500

2.
# PBE RbCd2In4Ge, optimized geometry
# Energy in eV/atom: -2.3006
# Energy of formation in meV/atom: -5
data_RbCd2In4Ge
_chemical_formula_sum 'Rb1 Cd2 In4 Ge1'
_space_group_name_H-M_alt 'P 1'
_space_group_IT_number 1
_cell_length_a 5.157
_cell_length_b 5.157
_cell_length_c 10.902
_cell_angle_alpha 76.32
_cell_angle_beta 76.32
_cell_angle_gamma 60.00
loop_
_space_group_symop_operation_xyz
'x,y,z'
loop_
_atom_site_label
_atom_site_type_symbol
_atom_site_fract_x
_atom_site_fract_y
_atom_site_fract_z
Cd1 Cd 0.244 0.244 0.267
Cd2 Cd 0.756 0.756 0.733
Ge1 Ge 0.500 0.500 0.500
In1 In 0.864 0.864 0.407
In2 In 0.136 0.136 0.593
In3 In 0.590 0.590 0.230
In4 In 0.410 0.410 0.770
Rb1 Rb 0.000 0.000 0.000

3.
# PBE Rb2CdInGe, optimized geometry
# Energy in eV/atom: -1.8501
# Energy of formation in meV/atom: 191
data_Rb2CdInGe
_chemical_formula_sum 'Rb2 Cd1 In1 Ge1'
_space_group_name_H-M_alt 'P 1'
_space_group_IT_number 1
_cell_length_a 7.091
_cell_length_b 5.197
_cell_length_c 7.091
_cell_angle_alpha 90.00
_cell_angle_beta 90.00
_cell_angle_gamma 90.00
loop_
_space_group_symop_operation_xyz
'x,y,z'
loop_
_atom_site_label
_atom_site_type_symbol
_atom_site_fract_x
_atom_site_fract_y
_atom_site_fract_z
Rb1 Rb 0.000 0.000 0.500
Rb2 Rb 0.500 0.000 0.000
In1 In 0.000 0.000 0.000
Ge1 Ge 0.000 0.500 0.000
Cd1 Cd 0.500 0.500 0.500

4.
# PBE Cd2InGe2Rh5, optimized geometry
# Energy in eV/atom: -5.3670
# Energy of formation in meV/atom: -311
data_Cd2InGe2Rh5
_chemical_formula_sum 'Cd4 In2 Ge4 Rh10'
_space_group_name_H-M_alt 'P 1'
_space_group_IT_number 1
_cell_length_a 3.460
_cell_length_b 9.822
_cell_length_c 9.822
_cell_angle_alpha 90.00
_cell_angle_beta 90.00
_cell_angle_gamma 90.00
loop_
_space_group_symop_operation_xyz
'x,y,z'
loop_
_atom_site_label
_atom_site_type_symbol
_atom_site_fract_x
_atom_site_fract_y
_atom_site_fract_z
In1 In 0.000 0.500 0.500
In2 In 0.000 0.000 0.000
Ge1 Ge 0.000 0.872 0.372
Ge2 Ge 0.000 0.128 0.628
Ge3 Ge 0.000 0.372 0.128
Ge4 Ge 0.000 0.628 0.872
Rh1 Rh 0.500 0.926 0.206
Rh2 Rh 0.500 0.206 0.074
Rh3 Rh 0.500 0.500 0.000
Rh4 Rh 0.500 0.294 0.574
Rh5 Rh 0.500 0.000 0.500
Rh6 Rh 0.500 0.426 0.294
Rh7 Rh 0.500 0.706 0.426
Rh8 Rh 0.500 0.074 0.794
Rh9 Rh 0.500 0.574 0.706
Rh10 Rh 0.500 0.794 0.926
Cd1 Cd 0.000 0.173 0.327
Cd2 Cd 0.000 0.673 0.173
Cd3 Cd 0.000 0.827 0.673
Cd4 Cd 0.000 0.327 0.827